The following is a PBE calculation of crystalline LuThCd4 at its relaxed geometry, from the Alexandria database.

a = 5.9286 Å, b = 5.9286 Å, c = 5.9286 Å
α = 60.00°, β = 60.00°, γ = 60.00°
Atoms (fractional coordinates):
Lu (0.0000, 0.0000, 0.0000)
Th (0.7500, 0.7500, 0.7500)
Cd (0.3746, 0.3746, 0.3746)
Cd (0.3746, 0.3746, 0.8762)
Cd (0.3746, 0.8762, 0.3746)
Cd (0.8762, 0.3746, 0.3746)

Formation enthalpy at 0 K   -140 meV/atom
Total moment   0.0 μB per formula unit

---

The following is a PBE calculation of crystalline LuThCd2 at its relaxed geometry, from the Alexandria database.

a = 4.9268 Å, b = 4.9268 Å, c = 4.4087 Å
α = 90.00°, β = 90.00°, γ = 90.00°
Atoms (fractional coordinates):
Lu (0.0000, 0.0000, 0.0000)
Th (0.5000, 0.5000, 0.0000)
Cd (0.0000, 0.5000, 0.5000)
Cd (0.5000, 0.0000, 0.5000)

Formation enthalpy at 0 K   -119 meV/atom
Total moment   0.0 μB per formula unit
ΔE to the lowest computed polymorph   74 meV per atom

---

The following is a PBE calculation of crystalline LuThCd2 at its relaxed geometry, from the Alexandria database.

a = 3.4994 Å, b = 3.4994 Å, c = 8.5754 Å
α = 90.00°, β = 90.00°, γ = 90.00°
Atoms (fractional coordinates):
Lu (0.0000, 0.0000, 0.0000)
Th (0.0000, 0.0000, 0.5000)
Cd (0.5000, 0.5000, 0.2303)
Cd (0.5000, 0.5000, 0.7697)

Formation enthalpy at 0 K   -193 meV/atom
Total moment   0.0 μB per formula unit
ΔE to the lowest computed polymorph   0 meV per atom